1.
The following is a DFT calculation (GGA-PBE) of a geometry-optimized Ho6Tm2Sc3In structure.

a = 5.941 Å, b = 5.941 Å, c = 11.282 Å
α = 95.04°, β = 95.04°, γ = 120.00°
Atoms (fractional coordinates):
Tm 0.666 0.334 0.000
Tm 0.334 0.666 0.000
Ho 0.417 0.086 0.256
Ho 0.914 0.583 0.744
Ho 0.755 0.755 0.257
Ho 0.245 0.245 0.743
Ho 0.583 0.914 0.744
Ho 0.086 0.417 0.256
Sc 0.500 0.500 0.500
Sc 0.833 0.167 0.500
Sc 0.167 0.833 0.500
In 0.000 0.000 0.000

Calculated values
Space group ... C2/m, No. 12
Total magnetic moment ... 0.0 Bohr magnetons per cell
Calculated formation energy ... -0.026 eV/atom

=====

2.
The following is a DFT calculation (GGA-PBE) of a geometry-optimized Y2HoSc2In5 structure.

a = 4.642 Å, b = 10.550 Å, c = 10.550 Å
α = 90.00°, β = 90.00°, γ = 90.00°
Atoms (fractional coordinates):
In 0.500 0.702 0.432
In 0.500 0.298 0.568
In 0.500 0.568 0.702
In 0.500 0.000 0.500
In 0.500 0.500 0.000
In 0.500 0.202 0.068
In 0.500 0.932 0.202
In 0.500 0.432 0.298
In 0.500 0.068 0.798
In 0.500 0.798 0.932
Sc 0.000 0.380 0.120
Sc 0.000 0.120 0.620
Sc 0.000 0.880 0.380
Sc 0.000 0.620 0.880
Y 0.000 0.323 0.823
Y 0.000 0.677 0.177
Y 0.000 0.177 0.323
Y 0.000 0.823 0.677
Ho 0.000 0.500 0.500
Ho 0.000 0.000 0.000

Calculated values
Space group ... P4/mbm, No. 127
Total magnetic moment ... 0.0 Bohr magnetons per cell
Calculated formation energy ... -0.339 eV/atom

=====

3.
The following is a DFT calculation (GGA-PBE) of a geometry-optimized YHoScIn structure.

a = 4.711 Å, b = 4.761 Å, c = 4.747 Å
α = 90.00°, β = 90.00°, γ = 90.00°
Each line ends with the local moment (μB).
Atoms (fractional coordinates):
Y 0.000 0.000 0.000  0.16
In 0.500 0.000 0.500  -0.02
Sc 0.500 0.500 0.000  0.28
Ho 0.000 0.500 0.500  0.20

Calculated values
Space group ... Pmmm, No. 47
Energy above the lowest structure with this stoichiometry ... 0.000 eV/atom
Total magnetic moment ... 0.9 Bohr magnetons per cell
Calculated formation energy ... -0.263 eV/atom

=====

4.
The following is a DFT calculation (GGA-PBE) of a geometry-optimized YHoScIn structure.

a = 5.340 Å, b = 5.340 Å, c = 5.340 Å
α = 60.00°, β = 60.00°, γ = 60.00°
Each line ends with the local moment (μB).
Atoms (fractional coordinates):
Ho 0.250 0.250 0.250  0.20
Sc 0.000 0.000 0.000  0.36
Y 0.750 0.750 0.750  0.15
In 0.500 0.500 0.500  -0.01

Calculated values
Space group ... F-43m, No. 216
Energy above the lowest structure with this stoichiometry ... 0.098 eV/atom
Total magnetic moment ... 1.1 Bohr magnetons per cell
Calculated formation energy ... -0.165 eV/atom

=====

5.
The following is a DFT calculation (GGA-PBE) of a geometry-optimized Y2HoScIn2 structure.

a = 5.282 Å, b = 6.684 Å, c = 9.169 Å
α = 90.00°, β = 90.00°, γ = 90.00°
Each line ends with the local moment (μB).
Atoms (fractional coordinates):
Ho 0.000 0.007 0.499  0.05
Ho 0.000 0.507 0.501  0.05
Y 0.500 0.008 0.002  0.12
Y 0.000 0.260 0.165  0.07
Y 0.500 0.508 0.998  0.12
Y 0.000 0.760 0.835  0.07
In 0.000 0.258 0.825  -0.01
In 0.500 0.757 0.656  0.00
In 0.500 0.257 0.344  0.00
In 0.000 0.758 0.175  -0.01
Sc 0.500 0.255 0.669  0.08
Sc 0.500 0.755 0.331  0.08

Calculated values
Space group ... Pmc2_1, No. 26
Total magnetic moment ... 1.0 Bohr magnetons per cell
Calculated formation energy ... -0.370 eV/atom

=====

6.
The following is a DFT calculation (GGA-PBE) of a geometry-optimized YHoSc2In4 structure.

a = 5.176 Å, b = 5.176 Å, c = 8.977 Å
α = 73.24°, β = 73.24°, γ = 60.00°
Atoms (fractional coordinates):
In 0.625 0.625 0.126
In 0.125 0.125 0.624
In 0.875 0.875 0.376
In 0.375 0.375 0.874
Ho 0.500 0.500 0.500
Sc 0.250 0.250 0.250
Sc 0.750 0.750 0.750
Y 0.000 0.000 0.000

Calculated values
Space group ... R-3m, No. 166
Total magnetic moment ... 0.0 Bohr magnetons per cell
Calculated formation energy ... -0.432 eV/atom

=====

7.
The following is a DFT calculation (GGA-PBE) of a geometry-optimized HoSc2Zn2In2 structure.

a = 4.636 Å, b = 4.636 Å, c = 8.847 Å
α = 74.81°, β = 74.81°, γ = 60.00°
Each line ends with the local moment (μB).
Atoms (fractional coordinates):
Sc 0.135 0.135 0.594  0.07
Sc 0.865 0.865 0.406  0.07
Ho 0.000 0.000 0.000  0.04
In 0.262 0.262 0.214  0.00
In 0.738 0.738 0.786  0.00
Zn 0.437 0.437 0.690  0.00
Zn 0.563 0.563 0.310  0.00

Calculated values
Space group ... R-3m, No. 166
Total magnetic moment ... 0.2 Bohr magnetons per cell
Calculated formation energy ... -0.248 eV/atom

=====

8.
The following is a DFT calculation (GGA-PBE) of a geometry-optimized HoScZnIn structure.

a = 5.040 Å, b = 5.040 Å, c = 5.040 Å
α = 60.00°, β = 60.00°, γ = 60.00°
Atoms (fractional coordinates):
In 0.500 0.500 0.500
Ho 0.250 0.250 0.250
Zn 0.000 0.000 0.000
Sc 0.750 0.750 0.750

Calculated values
Space group ... F-43m, No. 216
Energy above the lowest structure with this stoichiometry ... 0.027 eV/atom
Total magnetic moment ... 0.0 Bohr magnetons per cell
Calculated formation energy ... -0.385 eV/atom

=====

9.
The following is a DFT calculation (GGA-PBE) of a geometry-optimized HoScZnIn structure.

a = 3.531 Å, b = 3.531 Å, c = 7.177 Å
α = 90.00°, β = 90.00°, γ = 90.00°
Atoms (fractional coordinates):
Ho 0.500 0.500 0.126
Sc 0.500 0.500 0.586
Zn 0.000 0.000 0.378
In 0.000 0.000 0.838

Calculated values
Space group ... P4mm, No. 99
Energy above the lowest structure with this stoichiometry ... 0.000 eV/atom
Total magnetic moment ... 0.0 Bohr magnetons per cell
Calculated formation energy ... -0.411 eV/atom

=====

10.
The following is a DFT calculation (GGA-PBE) of a geometry-optimized HoZrScIn structure.

a = 5.166 Å, b = 5.166 Å, c = 5.166 Å
α = 60.00°, β = 60.00°, γ = 60.00°
Each line ends with the local moment (μB).
Atoms (fractional coordinates):
Sc 0.500 0.500 0.500  0.27
Ho 0.250 0.250 0.250  0.10
Zr 0.750 0.750 0.750  0.29
In 0.000 0.000 0.000  -0.01

Calculated values
Space group ... F-43m, No. 216
Total magnetic moment ... 1.0 Bohr magnetons per cell
Calculated formation energy ... -0.084 eV/atom

=====

11.
The following is a DFT calculation (GGA-PBE) of a geometry-optimized HoIn3Se6 structure.

a = 4.070 Å, b = 11.891 Å, c = 11.391 Å
α = 111.57°, β = 90.00°, γ = 90.00°
Atoms (fractional coordinates):
Se 0.750 0.397 0.062
Se 0.750 0.751 0.261
Se 0.750 0.454 0.605
Se 0.250 0.902 0.536
Se 0.750 0.098 0.464
Se 0.250 0.546 0.395
Se 0.250 0.249 0.739
Se 0.250 0.603 0.938
Se 0.250 0.197 0.263
Se 0.750 0.931 0.093
Se 0.250 0.069 0.907
Se 0.750 0.803 0.737
Ho 0.250 0.952 0.299
Ho 0.750 0.048 0.701
In 0.250 0.563 0.166
In 0.750 0.437 0.834
In 0.250 0.832 0.905
In 0.750 0.168 0.095
In 0.750 0.706 0.477
In 0.250 0.294 0.523

Calculated values
Space group ... P2_1/m, No. 11
Total magnetic moment ... 0.0 Bohr magnetons per cell
Electronic total energy ... -4.1736 eV per atom

=====

12.
The following is a DFT calculation (GGA-PBE) of a geometry-optimized HoInSe3 structure.

a = 4.149 Å, b = 7.268 Å, c = 10.487 Å
α = 97.85°, β = 90.00°, γ = 90.00°
Atoms (fractional coordinates):
Se 0.750 0.030 0.638
Se 0.250 0.764 0.966
Se 0.750 0.236 0.034
Se 0.250 0.467 0.344
Se 0.750 0.533 0.656
Se 0.250 0.970 0.362
In 0.750 0.910 0.860
In 0.250 0.090 0.140
Ho 0.250 0.290 0.565
Ho 0.750 0.710 0.435

Calculated values
Space group ... P2_1/m, No. 11
Energy above the lowest structure with this stoichiometry ... 0.000 eV/atom
Total magnetic moment ... 0.0 Bohr magnetons per cell

=====

| no. | density (g/cm³) |
| --- | --- |
| 1 | 7.71 |
| 2 | 6.47 |
| 3 | 6.45 |
| 4 | 6.38 |
| 5 | 6.33 |
| 6 | 6.79 |
| 7 | 6.51 |
| 8 | 7.15 |
| 9 | 7.24 |
| 10 | 7.08 |
| 11 | 6.37 |
| 12 | 5.48 |